1.
# TiHgIrRu, optimized geometry, DFT PBE-GGA
data_TiHgIrRu
_chemical_formula_sum 'Ti1 Hg1 Ir1 Ru1'
_space_group_name_H-M_alt 'P 1'
_space_group_IT_number 1
_cell_length_a 5.290
_cell_length_b 5.290
_cell_length_c 4.749
_cell_angle_alpha 114.75
_cell_angle_beta 114.75
_cell_angle_gamma 32.42
loop_
_space_group_symop_operation_xyz
'x,y,z'
loop_
_atom_site_label
_atom_site_fract_x
_atom_site_fract_y
_atom_site_fract_z
_atom_site_occupancy
Ti1 0.000 0.000 0.000 1
Hg1 0.237 0.237 0.601 1
Ir1 0.477 0.477 0.472 1
Ru1 0.739 0.739 0.093 1
# E above lowest polymorph ... 166.4 meV/atom
# Space-group type ... Cm, No. 8
# Total moment ... 0.0 μB/cell


2.
# TiHgIrRu, optimized geometry, DFT PBE-GGA
data_TiHgIrRu
_chemical_formula_sum 'Ti1 Hg1 Ir1 Ru1'
_space_group_name_H-M_alt 'P 1'
_space_group_IT_number 1
_cell_length_a 5.025
_cell_length_b 5.025
_cell_length_c 5.025
_cell_angle_alpha 135.32
_cell_angle_beta 133.16
_cell_angle_gamma 66.73
loop_
_space_group_symop_operation_xyz
'x,y,z'
loop_
_atom_site_label
_atom_site_fract_x
_atom_site_fract_y
_atom_site_fract_z
_atom_site_occupancy
Ti1 0.000 0.000 0.000 1
Hg1 0.254 0.754 0.500 1
Ir1 0.512 0.512 0.000 1
Ru1 0.777 0.277 0.500 1
# E above lowest polymorph ... 162.5 meV/atom
# Space-group type ... Imm2, No. 44
# Total moment ... 0.0 μB/cell


3.
# TiHgIrRu, optimized geometry, DFT PBE-GGA
data_TiHgIrRu
_chemical_formula_sum 'Ti1 Hg1 Ir1 Ru1'
_space_group_name_H-M_alt 'P 1'
_space_group_IT_number 1
_cell_length_a 4.795
_cell_length_b 4.795
_cell_length_c 4.795
_cell_angle_alpha 129.60
_cell_angle_beta 129.46
_cell_angle_gamma 74.16
loop_
_space_group_symop_operation_xyz
'x,y,z'
loop_
_atom_site_label
_atom_site_fract_x
_atom_site_fract_y
_atom_site_fract_z
_atom_site_occupancy
Ti1 0.000 0.000 0.000 1
Hg1 0.505 0.505 0.000 1
Ir1 0.255 0.755 0.500 1
Ru1 0.756 0.256 0.500 1
# E above lowest polymorph ... 135.7 meV/atom
# Space-group type ... Imm2, No. 44
# Total moment ... 0.0 μB/cell


4.
# TiHgIrRu, optimized geometry, DFT PBE-GGA
data_TiHgIrRu
_chemical_formula_sum 'Ti1 Hg1 Ir1 Ru1'
_space_group_name_H-M_alt 'P 1'
_space_group_IT_number 1
_cell_length_a 2.895
_cell_length_b 2.895
_cell_length_c 8.951
_cell_angle_alpha 93.91
_cell_angle_beta 93.91
_cell_angle_gamma 61.97
loop_
_space_group_symop_operation_xyz
'x,y,z'
loop_
_atom_site_label
_atom_site_fract_x
_atom_site_fract_y
_atom_site_fract_z
_atom_site_occupancy
Ti1 0.000 0.000 0.000 1
Hg1 0.913 0.913 0.493 1
Ir1 0.292 0.292 0.776 1
Ru1 0.552 0.552 0.216 1
# E above lowest polymorph ... 87.9 meV/atom
# Space-group type ... Cm, No. 8
# Total moment ... 0.0 μB/cell


What did the third record say?
# TiHgIrRu, optimized geometry, DFT PBE-GGA
data_TiHgIrRu
_chemical_formula_sum 'Ti1 Hg1 Ir1 Ru1'
_space_group_name_H-M_alt 'P 1'
_space_group_IT_number 1
_cell_length_a 4.795
_cell_length_b 4.795
_cell_length_c 4.795
_cell_angle_alpha 129.60
_cell_angle_beta 129.46
_cell_angle_gamma 74.16
loop_
_space_group_symop_operation_xyz
'x,y,z'
loop_
_atom_site_label
_atom_site_fract_x
_atom_site_fract_y
_atom_site_fract_z
_atom_site_occupancy
Ti1 0.000 0.000 0.000 1
Hg1 0.505 0.505 0.000 1
Ir1 0.255 0.755 0.500 1
Ru1 0.756 0.256 0.500 1
# E above lowest polymorph ... 135.7 meV/atom
# Space-group type ... Imm2, No. 44
# Total moment ... 0.0 μB/cell